Record 1
The following is a PBE-GGA calculation of an optimized crystal structure of Ba6Hg2PdO, from Alexandria via LeMat-Bulk.

```
data_Ba6Hg2PdO
_chemical_formula_sum 'Ba12 Hg4 Pd2 O2'
_space_group_name_H-M_alt 'P 1'
_space_group_IT_number 1
_cell_length_a 7.969
_cell_length_b 8.528
_cell_length_c 11.426
_cell_angle_alpha 90.00
_cell_angle_beta 88.50
_cell_angle_gamma 90.00
loop_
_space_group_symop_operation_xyz
'x,y,z'
loop_
_atom_site_label
_atom_site_fract_x
_atom_site_fract_y
_atom_site_fract_z
_atom_site_occupancy
Ba1 0.899 0.520 0.233 1
Hg1 0.967 0.089 0.749 1
Hg2 0.033 0.911 0.251 1
Ba2 0.173 0.203 0.050 1
Ba3 0.399 0.980 0.733 1
O1 0.500 0.000 0.500 1
Ba4 0.299 0.681 0.051 1
Ba5 0.799 0.819 0.551 1
Ba6 0.701 0.319 0.949 1
Ba7 0.601 0.020 0.267 1
Hg3 0.467 0.411 0.249 1
Hg4 0.533 0.589 0.751 1
Ba8 0.327 0.703 0.450 1
Ba9 0.201 0.181 0.449 1
Pd1 0.000 0.500 0.500 1
Ba10 0.101 0.480 0.767 1
Pd2 0.500 0.000 0.000 1
O2 0.000 0.500 0.000 1
Ba11 0.673 0.297 0.550 1
Ba12 0.827 0.797 0.950 1
```

Properties
Spin magnetization (μB per cell): 0.00
Symmetry: No. 14
Raw formation energy (meV per atom): -783



Record 2
The following is a PBE-GGA calculation of an optimized crystal structure of NdY3Ru, from Alexandria via LeMat-Bulk.

```
data_NdY3Ru
_chemical_formula_sum 'Nd2 Y6 Ru2'
_space_group_name_H-M_alt 'P 1'
_space_group_IT_number 1
_cell_length_a 3.846
_cell_length_b 7.132
_cell_length_c 11.037
_cell_angle_alpha 89.26
_cell_angle_beta 90.00
_cell_angle_gamma 105.64
loop_
_space_group_symop_operation_xyz
'x,y,z'
loop_
_atom_site_label
_atom_site_fract_x
_atom_site_fract_y
_atom_site_fract_z
_atom_site_occupancy
Y1 0.059 0.117 0.374 1
Y2 0.223 0.445 0.639 1
Y3 0.777 0.555 0.361 1
Y4 0.941 0.883 0.626 1
Ru1 0.409 0.818 0.424 1
Nd1 0.826 0.653 0.910 1
Ru2 0.591 0.182 0.576 1
Y5 0.435 0.871 0.155 1
Y6 0.565 0.129 0.845 1
Nd2 0.174 0.347 0.090 1
```

Properties
E_form (eV per atom): -0.16
Spin magnetization (μB per cell): 0.00
Symmetry: No. 12
Energy above the most stable polymorph in this dataset (eV per atom): 0.025



Record 3
The following is a PBE-GGA calculation of an optimized crystal structure of AlCd4Au4, from Alexandria via LeMat-Bulk.

```
data_AlCd4Au4
_chemical_formula_sum 'Al1 Cd4 Au4'
_space_group_name_H-M_alt 'P 1'
_space_group_IT_number 1
_cell_length_a 5.333
_cell_length_b 7.146
_cell_length_c 5.839
_cell_angle_alpha 66.46
_cell_angle_beta 90.00
_cell_angle_gamma 111.91
loop_
_space_group_symop_operation_xyz
'x,y,z'
loop_
_atom_site_label
_atom_site_fract_x
_atom_site_fract_y
_atom_site_fract_z
_atom_site_occupancy
Cd1 0.629 0.638 0.902 1
Au1 0.772 0.167 0.634 1
Cd2 0.992 0.362 0.098 1
Cd3 0.012 0.641 0.457 1
Al1 0.994 0.000 0.000 1
Au2 0.231 0.834 0.807 1
Cd4 0.370 0.359 0.543 1
Au3 0.604 0.833 0.366 1
Au4 0.397 0.166 0.193 1
```

Properties
E_form (eV per atom): -0.14
Spin magnetization (μB per cell): 0.00
Symmetry: No. 5



Record 4
The following is a PBE-GGA calculation of an optimized crystal structure of Dy2ErGa, from Alexandria via LeMat-Bulk.

```
data_Dy2ErGa
_chemical_formula_sum 'Dy2 Er1 Ga1'
_space_group_name_H-M_alt 'P 1'
_space_group_IT_number 1
_cell_length_a 3.471
_cell_length_b 3.471
_cell_length_c 11.771
_cell_angle_alpha 81.52
_cell_angle_beta 81.52
_cell_angle_gamma 60.00
loop_
_space_group_symop_operation_xyz
'x,y,z'
loop_
_atom_site_label
_atom_site_fract_x
_atom_site_fract_y
_atom_site_fract_z
_atom_site_occupancy
Er1 0.500 0.500 0.500 1
Dy1 0.086 0.086 0.742 1
Dy2 0.914 0.914 0.258 1
Ga1 0.000 0.000 0.000 1
```

Properties
E_form (eV per atom): 0.14
Spin magnetization (μB per cell): 0.00
Symmetry: No. 166
Energy above the most stable polymorph in this dataset (eV per atom): 0.418